The following is a DFT calculation (meta-GGA SCAN) of a crystal of Tl2Cl relaxed with PBEsol.

a b c (Å): 3.8797 3.8797 10.6404
angles (deg): 90.00 90.00 90.00
Space group I4/mmm (No. 139)
Asymmetric unit:
Tl  0.0000  0.0000  0.1587 [4 per cell]
Cl  0.0000  0.0000  0.5000 [2 per cell]

Summary:
* ΔE_f (raw): -0.498 eV per atom
* energy above the lowest structure with this stoichiometry: 0.02 eV per formula unit
* final energy: -51.396 eV/atom